# Pm3Ga3Pt2 (GGA-PBE, optimized geometry)
# **Electronic total energy**: -5.33 eV per atom
# **ρ**: 9626 kg/m3
# **ΔE_f**: -0.90 eV per atom
# **Total magnetic moment**: 0.00 Bohr magnetons per cell
data_Pm3Ga3Pt2
_cell_length_a 5.734
_cell_length_b 8.201
_cell_length_c 15.177
_cell_angle_alpha 90.00
_cell_angle_beta 90.00
_cell_angle_gamma 90.00
_symmetry_space_group_name_H-M 'P 1'
_symmetry_Int_Tables_number 1
loop_
_symmetry_equiv_pos_as_xyz
'x,y,z'
loop_
_atom_site_label
_atom_site_type_symbol
_atom_site_fract_x
_atom_site_fract_y
_atom_site_fract_z
_atom_site_occupancy
Ga1 Ga 0.112 0.184 0.537 1
Ga2 Ga 0.376 0.667 0.250 1
Ga3 Ga 0.124 0.167 0.250 1
Ga4 Ga 0.624 0.333 0.750 1
Ga5 Ga 0.112 0.184 0.963 1
Ga6 Ga 0.388 0.684 0.537 1
Ga7 Ga 0.612 0.316 0.037 1
Ga8 Ga 0.888 0.816 0.037 1
Ga9 Ga 0.876 0.833 0.750 1
Ga10 Ga 0.388 0.684 0.963 1
Ga11 Ga 0.612 0.316 0.463 1
Ga12 Ga 0.888 0.816 0.463 1
Pt1 Pt 0.126 0.899 0.893 1
Pt2 Pt 0.874 0.101 0.107 1
Pt3 Pt 0.874 0.101 0.393 1
Pt4 Pt 0.626 0.601 0.393 1
Pt5 Pt 0.626 0.601 0.107 1
Pt6 Pt 0.374 0.399 0.893 1
Pt7 Pt 0.374 0.399 0.607 1
Pt8 Pt 0.126 0.899 0.607 1
Pm1 Pm 0.377 0.958 0.391 1
Pm2 Pm 0.623 0.042 0.609 1
Pm3 Pm 0.123 0.458 0.391 1
Pm4 Pm 0.877 0.542 0.891 1
Pm5 Pm 0.377 0.958 0.109 1
Pm6 Pm 0.623 0.042 0.891 1
Pm7 Pm 0.870 0.818 0.250 1
Pm8 Pm 0.877 0.542 0.609 1
Pm9 Pm 0.130 0.182 0.750 1
Pm10 Pm 0.123 0.458 0.109 1
Pm11 Pm 0.630 0.318 0.250 1
Pm12 Pm 0.370 0.682 0.750 1